Entry 1:
## CrCoTc (GGA-PBEsol)

Data for an optimized crystal structure of CrCoTc.

Cell lengths 2.4912, 3.6709, 7.7310 Å; angles 90.00, 90.00, 90.00 degrees
Space group Imm2 (No. 44)
One atom of each set of equivalent atoms:
Cr: 0.0000 0.0000 0.0000 x2
Co: 0.0000 0.0000 0.3433 x2
Tc: 0.0000 0.0000 0.6749 x2

## Properties
crystal system	orthorhombic
magnetic moment	0.00	μB/f.u.
DOS(E_F)	4.08	states/eV/f.u.
DFT formation energy	0.140	eV/atom

=====

Entry 2:
## Cr2Co2Tc (GGA-PBEsol)

Data for an optimized crystal structure of Cr2Co2Tc.

Cell lengths 3.3861, 3.3861, 10.3092 Å; angles 90.00, 90.00, 90.00 degrees
Space group I4/mmm (No. 139)
One atom of each set of equivalent atoms:
Cr: 0.0000 0.5000 0.2500 x4
Co: 0.0000 0.0000 0.1027 x4
Tc: 0.0000 0.0000 0.5000 x2

## Properties
crystal system	tetragonal
magnetic moment	0.00	μB/f.u.
DOS(E_F)	4.73	states/eV/f.u.
DFT formation energy	0.431	eV/atom

=====

Entry 3:
## CrCo2Tc (GGA-PBEsol)

Data for an optimized crystal structure of CrCo2Tc.

Cell lengths 2.5142, 4.0293, 4.4021 Å; angles 90.00, 90.00, 90.00 degrees
Space group Pmm2 (No. 25)
One atom of each set of equivalent atoms:
Cr: 0.0000 0.0000 0.0000 x1
Co: 0.5000 0.0000 0.4848 x1
Co: 0.5000 0.5000 0.1570 x1
Tc: 0.0000 0.5000 0.6540 x1

## Properties
crystal system	orthorhombic
magnetic moment	0.00	μB/f.u.
DOS(E_F)	2.89	states/eV/f.u.
DFT formation energy	-0.038	eV/atom

=====

Entry 4:
## CrCo2Tc (GGA-PBEsol)

Data for an optimized crystal structure of CrCo2Tc.

Cell lengths 3.5127, 3.5127, 7.2318 Å; angles 90.00, 90.00, 90.00 degrees
Space group I4/mmm (No. 139)
One atom of each set of equivalent atoms:
Cr: 0.0000 0.0000 0.0000 x2
Co: 0.0000 0.5000 0.2500 x4
Tc: 0.0000 0.0000 0.5000 x2

## Properties
crystal system	tetragonal
magnetic moment	0.00	μB/f.u.
DOS(E_F)	3.78	states/eV/f.u.
DFT formation energy	0.003	eV/atom

=====

Entry 5:
## CrCo2Tc (GGA-PBEsol)

Data for an optimized crystal structure of CrCo2Tc.

Cell lengths 5.6581, 5.6581, 5.6581 Å; angles 90.00, 90.00, 90.00 degrees
Space group F-43m (No. 216)
One atom of each set of equivalent atoms:
Cr: 0.0000 0.0000 0.0000 x4
Co: 0.0000 0.0000 0.5000 x4
Co: 0.2500 0.2500 0.7500 x4
Tc: 0.2500 0.2500 0.2500 x4

## Properties
crystal system	cubic
magnetic moment	0.00	μB/f.u.
DOS(E_F)	5.95	states/eV/f.u.
DFT formation energy	0.190	eV/atom

=====

Entry 6:
## CrCo2Tc (GGA-PBEsol)

Data for an optimized crystal structure of CrCo2Tc.

Cell lengths 3.5124, 3.5124, 3.6159 Å; angles 90.00, 90.00, 90.00 degrees
Space group P4/mmm (No. 123)
One atom of each set of equivalent atoms:
Cr: 0.0000 0.0000 0.0000 x1
Co: 0.0000 0.5000 0.5000 x2
Tc: 0.5000 0.5000 0.0000 x1

## Properties
crystal system	tetragonal
magnetic moment	0.01	μB/f.u.
DOS(E_F)	3.82	states/eV/f.u.
DFT formation energy	0.005	eV/atom